(1)
Compound: Sm6Zn5Pt
Source: Alexandria
Functional: PBE
Structure: relaxed

Computed properties:
The calculation puts the total moment at 0.00 Bohr magnetons per cell. As for the calculated formation energy: -0.461 eV/atom. The value obtained for the total DFT energy (no corrections) is -3.85 eV/atom.

```
Sm6Zn5Pt
1.0
-2.4860 4.2863 1.3280
-5.9388 -2.4051 -3.3546
-3.5652 -1.2293 7.1928
Zn Sm Pt
5 6 1
Cartesian
-5.0009 -0.2092 1.2070 Zn
-3.9899 2.1002 5.5578 Zn
-2.9694 -1.2025 -1.6773 Zn
-2.0612 0.9569 2.9631 Zn
-6.9890 0.8612 3.9593 Zn
-2.6902 1.5571 -0.1535 Sm
-5.7346 0.3242 -1.8732 Sm
-4.7236 2.5854 2.6228 Sm
-4.2877 -0.7272 4.2259 Sm
-7.2663 -1.9334 2.5434 Sm
-7.7022 1.3792 0.9403 Sm
0.0000 0.0000 0.0000 Pt
```

(2)
Compound: Sm3Zn2Pt7
Source: Alexandria
Functional: PBE
Structure: relaxed

Computed properties:
The calculation puts the total moment at 0.00 Bohr magnetons per cell. As for the calculated formation energy: -0.956 eV/atom. The value obtained for the total DFT energy (no corrections) is -5.87 eV/atom.

```
Sm3Zn2Pt7
1.0
-4.0128 3.0174 -2.2959
-5.0921 -0.1005 2.1304
-1.0334 7.5090 5.0375
Zn Pt Sm
2 7 3
Cartesian
-4.0706 8.4741 4.9767 Zn
-6.0677 1.9519 -0.1046 Zn
-6.0828 7.3907 3.7229 Pt
-6.6232 2.9845 2.2234 Pt
-4.0594 5.8691 4.8806 Pt
-6.0789 4.5568 -0.0085 Pt
-5.0692 5.2130 2.4360 Pt
-4.0555 3.0352 1.1492 Pt
-3.5151 7.4414 2.6486 Pt
0.0000 0.0000 0.0000 Sm
-1.8690 4.7801 2.9115 Sm
-8.2693 5.6458 1.9606 Sm
```

(3)
Compound: SmZn6Pt6
Source: Alexandria
Functional: PBE
Structure: relaxed

Computed properties:
The calculation puts the total moment at 0.00 Bohr magnetons per cell. As for the calculated formation energy: -0.569 eV/atom. The value obtained for the total DFT energy (no corrections) is -4.31 eV/atom.

```
SmZn6Pt6
1.0
-1.9751 0.0241 -4.8494
-0.4570 -6.2400 -2.6718
-6.7757 -0.6080 -0.0703
Pt Zn Sm
6 6 1
Cartesian
-2.6102 -4.3208 -1.7853 Pt
-7.1401 -5.4242 -5.5998 Pt
-4.6225 -2.5273 -0.9568 Pt
-3.7804 -2.3357 -4.1258 Pt
-5.4273 -4.4883 -3.4657 Pt
-2.0677 -1.3998 -1.9918 Pt
-1.2160 -3.1080 -3.7606 Zn
-6.3345 -1.8694 -3.0832 Zn
-0.2285 -3.1200 -1.3359 Zn
-2.8732 -4.9546 -4.5083 Zn
-4.3754 -0.2920 -2.4599 Zn
-3.3879 -0.3040 -0.0352 Zn
0.0000 0.0000 0.0000 Sm
```

Q: Number 3 is which compound?
A: SmZn6Pt6

Q: Which formula does entry 1 have?
A: Sm6Zn5Pt

Q: Which formula does entry 1 have?
A: Sm6Zn5Pt